# 1
! Sr2ScSe (PBE-GGA, relaxed); values from VASP
! - Symmetry: Cm, No. 8
&SYSTEM
  ibrav = 0, nat = 4, ntyp = 3
/
ATOMIC_SPECIES
Sr 87.62 Sr.upf
Sc 44.96 Sc.upf
Se 78.96 Se.upf
ATOMIC_POSITIONS crystal
Sr 0.000 0.000 0.000
Sr 0.190 0.190 0.688
Sc 0.384 0.384 0.385
Se 0.719 0.719 0.211
CELL_PARAMETERS angstrom
6.653 -1.895 0.000
6.653 1.895 0.000
-2.577 0.000 5.293



# 2
! SrSc2Se (PBE-GGA, relaxed); values from VASP
! - Symmetry: P2/m, No. 10
&SYSTEM
  ibrav = 0, nat = 4, ntyp = 3
/
ATOMIC_SPECIES
Sr 87.62 Sr.upf
Sc 44.96 Sc.upf
Se 78.96 Se.upf
ATOMIC_POSITIONS crystal
Sr 0.000 0.000 0.000
Sc 0.319 0.500 0.638
Sc 0.681 0.500 0.362
Se 0.500 0.000 0.000
CELL_PARAMETERS angstrom
6.091 0.000 0.000
0.000 3.723 0.000
-3.039 0.000 5.297



# 3
! SrScSe2 (PBE-GGA, relaxed); values from VASP
! - Symmetry: Immm, No. 71
! - Polymorph energy (0 for the lowest one): 1.33 eV per formula unit
&SYSTEM
  ibrav = 0, nat = 4, ntyp = 3
/
ATOMIC_SPECIES
Sr 87.62 Sr.upf
Sc 44.96 Sc.upf
Se 78.96 Se.upf
ATOMIC_POSITIONS crystal
Sr 0.000 0.000 0.000
Sc 0.500 0.500 0.000
Se 0.285 0.785 0.500
Se 0.715 0.215 0.500
CELL_PARAMETERS angstrom
-2.030 3.358 4.084
2.030 -3.358 4.084
2.030 3.358 -4.084



# 4
! SrSc2Se (PBE-GGA, relaxed); values from VASP
! - Symmetry: Amm2, No. 38
&SYSTEM
  ibrav = 0, nat = 4, ntyp = 3
/
ATOMIC_SPECIES
Sr 87.62 Sr.upf
Sc 44.96 Sc.upf
Se 78.96 Se.upf
ATOMIC_POSITIONS crystal
Sr 0.000 0.000 0.000
Sc 0.000 0.264 0.264
Sc 0.500 0.723 0.723
Se 0.500 0.394 0.394
CELL_PARAMETERS angstrom
4.276 0.000 0.000
0.000 2.035 6.435
0.000 -2.035 6.435



# 5
! SrScSe2 (PBE-GGA, relaxed); values from VASP
! - Symmetry: C2/m, No. 12
! - Polymorph energy (0 for the lowest one): 0.00 eV per formula unit
&SYSTEM
  ibrav = 0, nat = 4, ntyp = 3
/
ATOMIC_SPECIES
Sr 87.62 Sr.upf
Sc 44.96 Sc.upf
Se 78.96 Se.upf
ATOMIC_POSITIONS crystal
Sr 0.000 0.000 0.000
Sc 0.500 0.500 0.500
Se 0.239 0.239 0.718
Se 0.761 0.761 0.282
CELL_PARAMETERS angstrom
3.542 -2.046 0.000
3.542 2.046 0.000
-2.351 0.000 6.905



# 6
! SrSc2Se (PBE-GGA, relaxed); values from VASP
! - Symmetry: R-3m, No. 166
&SYSTEM
  ibrav = 0, nat = 4, ntyp = 3
/
ATOMIC_SPECIES
Sr 87.62 Sr.upf
Sc 44.96 Sc.upf
Se 78.96 Se.upf
ATOMIC_POSITIONS crystal
Sr 0.000 0.000 0.000
Sc 0.222 0.222 0.222
Sc 0.778 0.778 0.778
Se 0.500 0.500 0.500
CELL_PARAMETERS angstrom
1.885 1.088 9.393
-1.885 1.088 9.393
0.000 -2.176 9.393



# 7
! Sr2ScSe (PBE-GGA, relaxed); values from VASP
! - Symmetry: P4mm, No. 99
&SYSTEM
  ibrav = 0, nat = 4, ntyp = 3
/
ATOMIC_SPECIES
Sr 87.62 Sr.upf
Sc 44.96 Sc.upf
Se 78.96 Se.upf
ATOMIC_POSITIONS crystal
Sr 0.000 0.000 0.000
Sr 0.500 0.500 0.357
Sc 0.000 0.000 0.631
Se 0.500 0.500 0.743
CELL_PARAMETERS angstrom
3.753 0.000 0.000
0.000 3.753 0.000
0.000 0.000 9.436



# 8
! Sr3ScSe (PBE-GGA, relaxed); values from VASP
! - Symmetry: Pm-3m, No. 221
! - Polymorph energy (0 for the lowest one): 0.00 eV per formula unit
&SYSTEM
  ibrav = 0, nat = 5, ntyp = 3
/
ATOMIC_SPECIES
Sr 87.62 Sr.upf
Sc 44.96 Sc.upf
Se 78.96 Se.upf
ATOMIC_POSITIONS crystal
Sr 0.000 0.000 0.500
Sr 0.000 0.500 0.000
Sr 0.500 0.000 0.000
Sc 0.500 0.500 0.500
Se 0.000 0.000 0.000
CELL_PARAMETERS angstrom
5.984 0.000 0.000
0.000 5.984 0.000
0.000 0.000 5.984



For the records above, the corresponding raw formation energy values read -617 -541 -1438 -614 -1771 -613 -613 -386 meV per atom.
For the records above, the corresponding theoretical density values read 3722 3546 4332 3804 4821 3685 3738 2997 kg/m3.